Compound: CaScRe
Source: Alexandria via LeMat-Bulk
Functional: PBE-GGA
Structure: relaxed

abc: 4.933 4.933 2.946
angles: 90.00 90.00 120.00
Positions (direct):
Ca (0.000, 0.000, 0.000)
Re (0.667, 0.333, 0.499)
Sc (0.333, 0.667, 0.501)

Computed properties:
**Formation enthalpy at 0 K**: 0.44 eV per atom
**M_tot**: 0.000 μB per atom
**Relative energy among the computed polymorphs**: 8.2 kJ per mole of atoms

Compound: CaScRe
Source: Alexandria via LeMat-Bulk
Functional: PBE-GGA
Structure: relaxed

abc: 6.356 6.356 6.356
angles: 148.67 148.67 44.90
Positions (direct):
Sc (0.709, 0.709, 0.000)
Ca (0.979, 0.979, 0.000)
Re (0.312, 0.312, 0.000)

Computed properties:
**Formation enthalpy at 0 K**: 0.36 eV per atom
**M_tot**: 0.000 μB per atom
**Relative energy among the computed polymorphs**: 0.0 kJ per mole of atoms

Compound: CaSc3Re
Source: Alexandria via LeMat-Bulk
Functional: PBE-GGA
Structure: relaxed

abc: 5.160 5.160 5.160
angles: 90.00 90.00 90.00
Positions (direct):
Sc (0.000, 0.500, 0.000)
Sc (0.500, 0.000, 0.000)
Sc (0.000, 0.000, 0.500)
Ca (0.500, 0.500, 0.500)
Re (0.000, 0.000, 0.000)

Computed properties:
**Formation enthalpy at 0 K**: 0.12 eV per atom
**M_tot**: 0.000 μB per atom
**Relative energy among the computed polymorphs**: 0.0 kJ per mole of atoms

Compound: CaSc2Re
Source: Alexandria via LeMat-Bulk
Functional: PBE-GGA
Structure: relaxed

abc: 5.747 5.878 2.965
angles: 77.09 86.62 118.29
Positions (direct):
Sc (0.500, 0.000, 0.500)
Sc (0.000, 0.000, 0.000)
Ca (0.000, 0.500, 0.500)
Re (0.500, 0.500, 0.000)

Computed properties:
**Formation enthalpy at 0 K**: 0.45 eV per atom
**M_tot**: 0.000 μB per atom
**Relative energy among the computed polymorphs**: 41.8 kJ per mole of atoms